--- i ---
The following is a SCAN calculation of a crystal of Cd2Te relaxed with PBEsol, from Alexandria via LeMat-Bulk.

abc: 4.185 4.185 5.189
angles: 90.00 90.00 120.00
Atoms (fractional coordinates):
Cd: 0.333 0.667 0.332
Cd: 0.667 0.333 0.668
Te: 0.000 0.000 0.000

Computed properties:
Total moment = 0.00 μB/f.u.

=====

--- ii ---
The following is a SCAN calculation of a crystal of Cd2Te relaxed with PBEsol, from Alexandria via LeMat-Bulk.

abc: 4.253 4.253 5.719
angles: 68.17 68.17 60.00
Atoms (fractional coordinates):
Cd: 0.221 0.221 0.337
Te: 0.999 0.999 0.002
Cd: 0.446 0.446 0.661

Computed properties:
Total moment = 0.00 μB/f.u.

=====

Order from most stable to least stable according to the calculation: i, ii

=====

--- i ---
The following is a SCAN calculation of a crystal of Cd3Te relaxed with PBEsol, from Alexandria via LeMat-Bulk.

abc: 3.236 3.236 8.999
angles: 90.00 90.00 90.09
Atoms (fractional coordinates):
Cd: 0.500 0.500 0.000
Te: 0.500 0.500 0.500
Cd: 0.000 0.000 0.223
Cd: 0.000 0.000 0.777

Computed properties:
Total moment = 0.00 μB/f.u.

=====

--- ii ---
The following is a SCAN calculation of a crystal of Cd3Te relaxed with PBEsol, from Alexandria via LeMat-Bulk.

abc: 2.895 6.389 6.389
angles: 117.76 98.69 98.69
Atoms (fractional coordinates):
Cd: 0.000 0.500 0.000
Te: 0.500 0.000 0.000
Cd: 0.500 0.500 0.500
Cd: 0.000 0.000 0.500

Computed properties:
Total moment = 0.00 μB/f.u.

=====

Order from most stable to least stable according to the calculation: i, ii

=====

--- i ---
The following is a SCAN calculation of a crystal of Tl5Cd3 relaxed with PBEsol, from Alexandria via LeMat-Bulk.

abc: 4.792 6.576 6.576
angles: 97.15 90.00 90.00
Atoms (fractional coordinates):
Cd: 0.500 0.757 0.243
Tl: 0.500 0.266 0.266
Cd: 0.000 0.500 0.500
Tl: 0.000 0.500 0.000
Tl: 0.500 0.734 0.734
Tl: 0.000 0.000 0.000
Tl: 0.000 0.000 0.500
Cd: 0.500 0.243 0.757

Computed properties:
Total moment = 0.00 μB/f.u.

=====

--- ii ---
The following is a SCAN calculation of a crystal of Tl5Cd3 relaxed with PBEsol, from Alexandria via LeMat-Bulk.

abc: 6.042 8.836 8.836
angles: 83.29 70.01 70.01
Atoms (fractional coordinates):
Tl: 0.775 0.300 0.151
Tl: 0.250 0.500 0.500
Tl: 0.225 0.700 0.849
Cd: 0.831 0.500 0.839
Tl: 0.575 0.700 0.151
Cd: 0.669 0.161 0.500
Tl: 0.750 0.500 0.500
Cd: 0.169 0.500 0.161
Cd: 0.750 0.000 0.000
Tl: 0.925 0.849 0.300
Cd: 0.250 0.000 0.000
Cd: 0.331 0.839 0.500
Tl: 0.725 0.849 0.700
Tl: 0.425 0.300 0.849
Tl: 0.275 0.151 0.300
Tl: 0.075 0.151 0.700

Computed properties:
Total moment = 0.00 μB/f.u.

=====

Order from most stable to least stable according to the calculation: ii, i